Below is an optimized crystal structure of Cs2Cd2HgI6, with properties calculated at the PBE-GGA level.

a = 14.1199 Å, b = 8.7785 Å, c = 10.0856 Å
α = 90.00°, β = 106.88°, γ = 90.00°
With the nearest neighbours (Å) after each atom.
Space group C2/m (No. 12)
Unique sites:
Cs  0.1757  0.0000  0.2177 [4 per cell]  7 I 4.05-4.22, 1 Hg 4.28
Cd  0.0162  0.5000  0.2196 [4 per cell]  3 I 2.72-2.74
Hg  0.0000  0.0000  0.5000 [2 per cell]  6 I 3.91-3.98, 2 Cs 4.28
I  0.0935  0.2390  0.8486 [8 per cell]  1 Cd 2.74
I  0.2113  0.5000  0.3642 [4 per cell]  1 Cd 2.72

Calculated values
* energy relative to the elements, uncorrected: -0.838 eV per atom
* final energy: -44.72 eV/cell
* magnetization: 0.000 μB per formula unit
* crystal system: monoclinic

Below is an optimized crystal structure of Hg2PbCl, with properties calculated at the PBE-GGA level.

a = 4.4344 Å, b = 4.4344 Å, c = 5.6575 Å
α = 90.00°, β = 90.00°, γ = 90.00°
With the nearest neighbours (Å) after each atom.
Space group P4/mmm (No. 123)
Unique sites:
Hg  0.0000  0.5000  0.0000 [2 per cell]  4 Hg 3.14
Pb  0.0000  0.0000  0.5000 [1 per cell]  4 Cl 3.14
Cl  0.5000  0.5000  0.5000 [1 per cell]  4 Pb 3.14

Calculated values
* energy relative to the elements, uncorrected: -0.238 eV per atom
* energy above the most stable polymorph in this dataset: 5.5 kJ per mole of atoms
* final energy: -7.11 eV/cell
* magnetization: 0.000 μB per formula unit
* crystal system: tetragonal

Below is an optimized crystal structure of InAgRh2, with properties calculated at the PBE-GGA level.

a = 4.0886 Å, b = 4.0886 Å, c = 7.8914 Å
α = 90.00°, β = 90.00°, γ = 90.00°
With the nearest neighbours (Å) after each atom.
Space group I-4m2 (No. 119)
Unique sites:
In  0.0000  0.0000  0.0000 [2 per cell]  8 Rh 2.84-2.89, 4 Ag 2.84
Ag  0.0000  0.5000  0.2500 [2 per cell]  4 In 2.84, 8 Rh 2.84-2.89
Rh  0.0000  0.0000  0.5000 [2 per cell]  4 Rh 2.84, 4 Ag 2.84, 4 In 2.89
Rh  0.0000  0.5000  0.7500 [2 per cell]  4 In 2.84, 4 Rh 2.84, 4 Ag 2.89

Calculated values
* final energy: -40.69 eV/cell
* magnetization: 0.000 μB per formula unit
* calculated formation energy: -13 meV/atom
* crystal system: tetragonal

Below is an optimized crystal structure of KGdTlCd, with properties calculated at the PBE-GGA level.

a = 7.8981 Å, b = 7.8981 Å, c = 7.8981 Å
α = 90.00°, β = 90.00°, γ = 90.00°
With the nearest neighbours (Å) after each atom.
Space group F-43m (No. 216)
Unique sites:
K  0.0000  0.0000  0.0000 [4 per cell]  4 Cd 3.42, 4 Tl 3.42
Gd  0.0000  0.0000  0.5000 [4 per cell]  4 Tl 3.42, 4 Cd 3.42
Tl  0.2500  0.2500  0.7500 [4 per cell]  4 K 3.42, 4 Gd 3.42
Cd  0.2500  0.2500  0.2500 [4 per cell]  4 Gd 3.42, 4 K 3.42

Calculated values
* final energy: -74.55 eV/cell
* magnetization: 7.384 μB per formula unit
* calculated formation energy: -44 meV/atom
* crystal system: cubic

Below is an optimized crystal structure of Nd2ScIn, with properties calculated at the PBE-GGA level.

a = 7.6867 Å, b = 7.6867 Å, c = 7.6867 Å
α = 90.00°, β = 90.00°, γ = 90.00°
With the nearest neighbours (Å) after each atom.
Space group F-43m (No. 216)
Unique sites:
Nd  0.0000  0.0000  0.0000 [4 per cell]  4 Nd 3.33, 4 Sc 3.33
Nd  0.2500  0.2500  0.2500 [4 per cell]  4 In 3.33, 4 Nd 3.33
Sc  0.2500  0.2500  0.7500 [4 per cell]  4 In 3.33, 4 Nd 3.33
In  0.0000  0.0000  0.5000 [4 per cell]  4 Nd 3.33, 4 Sc 3.33

Calculated values
* energy above the most stable polymorph in this dataset: 15.6 kJ per mole of atoms
* final energy: -75.95 eV/cell
* magnetization: 1.411 μB per formula unit
* calculated formation energy: -95 meV/atom
* crystal system: cubic

Below is an optimized crystal structure of LiNb2Ir2, with properties calculated at the PBE-GGA level.

a = 7.8730 Å, b = 7.8730 Å, c = 2.8352 Å
α = 90.00°, β = 90.00°, γ = 90.00°
With the nearest neighbours (Å) after each atom.
Space group P4/mbm (No. 127)
Unique sites:
Li  0.0000  0.0000  0.0000 [2 per cell]  2 Li 2.84, 4 Nb 2.99
Nb  0.1514  0.3486  0.0000 [4 per cell]  6 Ir 2.70-2.72, 2 Nb 2.84, 2 Li 2.99
Ir  0.1427  0.6427  0.5000 [4 per cell]  6 Nb 2.70-2.72, 2 Ir 2.84

Calculated values
* energy above the most stable polymorph in this dataset: 4.4 kJ per mole of atoms
* final energy: -82.47 eV/cell
* magnetization: 0.000 μB per formula unit
* calculated formation energy: -292 meV/atom
* crystal system: tetragonal

Below is an optimized crystal structure of Tl3Cu2Br2Cl5, with properties calculated at the PBE-GGA level.

a = 4.9333 Å, b = 4.9333 Å, c = 25.9842 Å
α = 90.00°, β = 90.00°, γ = 90.00°
With the nearest neighbours (Å) after each atom.
Space group I4/mmm (No. 139)
Unique sites:
Tl  0.0000  0.0000  0.0000 [2 per cell]  12 Cl 3.43-3.49
Tl  0.0000  0.0000  0.1778 [4 per cell]  4 Cl 3.33, 5 Br 3.42-3.50
Cu  0.0000  0.0000  0.4073 [4 per cell]  5 Cl 2.41-2.47, 1 Br 2.54
Br  0.0000  0.0000  0.3095 [4 per cell]  1 Cu 2.54
Cl  0.0000  0.0000  0.5000 [2 per cell]  2 Cu 2.41
Cl  0.0000  0.5000  0.0915 [8 per cell]  2 Cu 2.47

Calculated values
* energy relative to the elements, uncorrected: -0.697 eV per atom
* final energy: -72.47 eV/cell
* magnetization: 0.000 μB per formula unit
* crystal system: tetragonal

Below is an optimized crystal structure of Be2Cd2GeO6, with properties calculated at the PBE-GGA level.

a = 5.1159 Å, b = 5.1159 Å, c = 5.5106 Å
α = 90.00°, β = 90.00°, γ = 120.00°
With the nearest neighbours (Å) after each atom.
Space group P-3 (No. 147)
Unique sites:
Be  0.3333  0.6667  0.3305 [2 per cell]  3 O 1.55
Cd  0.3333  0.6667  0.8411 [2 per cell]  3 O 2.19
Ge  0.0000  0.0000  0.5000 [1 per cell]  6 O 1.94
O  0.0720  0.7327  0.2966 [6 per cell]  1 Be 1.55

Calculated values
* energy relative to the elements, uncorrected: -1.610 eV per atom
* final energy: -61.36 eV/cell
* magnetization: 0.000 μB per formula unit
* crystal system: trigonal